Record 1
Pr5TlIr | PBE-GGA | optimized geometry

Cell: 6.2993 6.2993 12.0131 Å, 77.54 77.54 76.95°
Last column: nearest neighbours and their distance in Å.
Element x y z (fractional)
Tl: 0.4231 0.5769 0.2500  7 Pr 3.21-3.57
Tl: 0.5769 0.4231 0.7500  7 Pr 3.21-3.57
Pr: 0.4279 0.0638 0.3705  1 Ir 2.87
Pr: 0.9865 0.0135 0.7500  2 Ir 3.01, 1 Tl 3.21
Pr: 0.0638 0.4279 0.8705  1 Ir 2.87
Pr: 0.0135 0.9865 0.2500  2 Ir 3.01, 1 Tl 3.21
Pr: 0.9362 0.5721 0.1295  1 Ir 2.87
Pr: 0.4472 0.7853 0.9472  1 Ir 2.84
Pr: 0.2147 0.5528 0.5528  1 Ir 2.84
Pr: 0.5721 0.9362 0.6295  1 Ir 2.87
Pr: 0.7853 0.4472 0.4472  1 Ir 2.84
Pr: 0.5528 0.2147 0.0528  1 Ir 2.84
Ir: 0.0000 0.0000 0.0000  6 Pr 2.84-3.01
Ir: 0.0000 0.0000 0.5000  6 Pr 2.84-3.01

## Properties
E, eV per cell: -73.461
ΔH_f (0 K), eV/atom: -0.2294
Space group: C2/c, No. 15

---

Record 2
PrTm4Ir5 | PBE-GGA | optimized geometry

Cell: 3.3320 3.3320 17.9451 Å, 90.00 90.00 90.00°
Last column: nearest neighbours and their distance in Å.
Element x y z (fractional)
Tm: 0.0000 0.0000 0.5973  8 Ir 2.93
Tm: 0.0000 0.0000 0.7926  8 Ir 2.91-2.94
Tm: 0.0000 0.0000 0.4027  8 Ir 2.93
Tm: 0.0000 0.0000 0.2074  8 Ir 2.91-2.94
Ir: 0.5000 0.5000 0.8873  4 Tm 2.91, 4 Pr 3.10
Ir: 0.5000 0.5000 0.3058  8 Tm 2.93-2.94
Ir: 0.5000 0.5000 0.5000  8 Tm 2.93
Ir: 0.5000 0.5000 0.6942  8 Tm 2.93-2.94
Ir: 0.5000 0.5000 0.1127  4 Tm 2.91, 4 Pr 3.10
Pr: 0.0000 0.0000 0.0000  8 Ir 3.10, 4 Pr 3.33

## Properties
E, eV per cell: -75.113
ΔH_f (0 K), eV/atom: -0.8142
Space group: P4/mmm, No. 123

---

Record 3
PrTm3Ir2 | PBE-GGA | optimized geometry

Cell: 5.0013 9.4389 8.0926 Å, 125.75 90.00 105.36°
Last column: nearest neighbours and their distance in Å.
Element x y z (fractional)
Tm: 0.6238 0.2476 0.7254  4 Ir 2.82-3.00
Tm: 0.3762 0.7524 0.2746  4 Ir 2.82-3.00
Tm: 0.9293 0.8585 0.6039  3 Ir 2.80-2.89
Tm: 0.6845 0.3690 0.3743  2 Ir 2.71-2.83
Tm: 0.3155 0.6310 0.6257  2 Ir 2.71-2.83
Tm: 0.0707 0.1415 0.3961  3 Ir 2.80-2.89
Ir: 0.4992 0.9985 0.1723  4 Tm 2.71-2.89, 1 Ir 2.81
Ir: 0.2258 0.4515 0.8141  5 Tm 2.80-3.00, 1 Pr 3.05
Ir: 0.7742 0.5485 0.1859  5 Tm 2.80-3.00, 1 Pr 3.05
Ir: 0.5008 0.0015 0.8277  4 Tm 2.71-2.89, 1 Ir 2.81
Pr: 0.8600 0.7201 0.9586  5 Ir 3.05-3.22, 3 Tm 3.28-3.39
Pr: 0.1400 0.2799 0.0414  5 Ir 3.05-3.22, 3 Tm 3.28-3.39

## Properties
E, eV per cell: -78.648
ΔH_f (0 K), eV/atom: -0.5680
Space group: C2/m, No. 12

---

Record 4
PrTm2Ir | PBE-GGA | optimized geometry

Cell: 6.4489 7.2998 9.2490 Å, 90.00 90.00 90.00°
Last column: nearest neighbours and their distance in Å.
Element x y z (fractional)
Ir: 0.9306 0.6179 0.7500  4 Tm 2.81-2.85, 2 Pr 2.86-3.03
Ir: 0.4306 0.8821 0.2500  4 Tm 2.81-2.85, 2 Pr 2.86-3.03
Ir: 0.0694 0.3821 0.2500  4 Tm 2.81-2.85, 2 Pr 2.86-3.03
Ir: 0.5694 0.1179 0.7500  4 Tm 2.81-2.85, 2 Pr 2.86-3.03
Pr: 0.3682 0.4668 0.7500  2 Ir 2.86-3.03
Pr: 0.1318 0.9668 0.7500  2 Ir 2.86-3.03
Pr: 0.8682 0.0332 0.2500  2 Ir 2.86-3.03
Pr: 0.6318 0.5332 0.2500  2 Ir 2.86-3.03
Tm: 0.8334 0.3252 0.5649  2 Ir 2.81-2.85
Tm: 0.1666 0.6748 0.4351  2 Ir 2.81-2.85
Tm: 0.6666 0.8252 0.5649  2 Ir 2.81-2.85
Tm: 0.8334 0.3252 0.9351  2 Ir 2.81-2.85
Tm: 0.3334 0.1748 0.0649  2 Ir 2.81-2.85
Tm: 0.6666 0.8252 0.9351  2 Ir 2.81-2.85
Tm: 0.3334 0.1748 0.4351  2 Ir 2.81-2.85
Tm: 0.1666 0.6748 0.0649  2 Ir 2.81-2.85

## Properties
E, eV per cell: -99.251
ΔH_f (0 K), eV/atom: -0.5573
Space group: Pnma, No. 62
Relative energy among the computed polymorphs, meV per atom: 0

---

Record 5
Pr3TmIr | PBE-GGA | optimized geometry

Cell: 5.6400 5.6400 5.6400 Å, 90.00 90.00 90.00°
Last column: nearest neighbours and their distance in Å.
Element x y z (fractional)
Pr: 0.0000 0.5000 0.0000  2 Ir 2.82
Pr: 0.5000 0.0000 0.0000  2 Ir 2.82
Pr: 0.0000 0.0000 0.5000  2 Ir 2.82
Ir: 0.0000 0.0000 0.0000  6 Pr 2.82
Tm: 0.5000 0.5000 0.5000  12 Pr 3.99

## Properties
E, eV per cell: -28.066
ΔH_f (0 K), eV/atom: -0.0790
Space group: Pm-3m, No. 221

---

Record 6
PrTm2Ir | PBE-GGA | optimized geometry

Cell: 3.8689 6.4797 9.0339 Å, 90.00 90.00 107.33°
Last column: nearest neighbours and their distance in Å.
Element x y z (fractional)
Tm: 0.6457 0.2911 0.0663  3 Ir 2.84-3.15
Tm: 0.3543 0.7089 0.5663  3 Ir 2.84-3.15
Tm: 0.6457 0.2911 0.4337  3 Ir 2.84-3.15
Tm: 0.3543 0.7089 0.9337  3 Ir 2.84-3.15
Pr: 0.9326 0.8654 0.2500  2 Ir 3.00-3.01
Pr: 0.0674 0.1346 0.7500  2 Ir 3.00-3.01
Ir: 0.7531 0.5064 0.7500  6 Tm 2.84-3.15, 2 Pr 3.00-3.01
Ir: 0.2469 0.4936 0.2500  6 Tm 2.84-3.15, 2 Pr 3.00-3.01

## Properties
E, eV per cell: -49.403
ΔH_f (0 K), eV/atom: -0.5295
Space group: Cmcm, No. 63
Relative energy among the computed polymorphs, meV per atom: 28

---

Record 7
PrTm2Ir | PBE-GGA | optimized geometry

Cell: 4.0799 4.0799 8.6920 Å, 76.43 76.43 60.00°
Last column: nearest neighbours and their distance in Å.
Element x y z (fractional)
Tm: 0.2780 0.2780 0.1659  3 Ir 2.72
Tm: 0.0537 0.0537 0.8389  3 Ir 2.72
Ir: 0.6659 0.6659 0.0024  6 Tm 2.72
Pr: 0.5024 0.5024 0.4929  6 Tm 3.61-3.73

## Properties
E, eV per cell: -24.212
ΔH_f (0 K), eV/atom: -0.4072
Space group: R3m, No. 160
Relative energy among the computed polymorphs, meV per atom: 150

---

Record 8
Pr2TmIr | PBE-GGA | optimized geometry

Cell: 3.8203 3.8203 10.9239 Å, 79.93 79.93 60.00°
Last column: nearest neighbours and their distance in Å.
Element x y z (fractional)
Tm: 0.0000 0.0000 0.0000  2 Pr 3.56, 6 Tm 3.82
Pr: 0.8892 0.8892 0.3325  3 Ir 2.84
Pr: 0.1108 0.1108 0.6675  3 Ir 2.84
Ir: 0.5000 0.5000 0.5000  6 Pr 2.84

## Properties
E, eV per cell: -22.852
ΔH_f (0 K), eV/atom: 0.0098
Space group: R-3m, No. 166

---

Record 9
PrTm2Ir | PBE-GGA | optimized geometry

Cell: 3.8917 3.8917 9.5027 Å, 78.18 78.18 60.00°
Last column: nearest neighbours and their distance in Å.
Element x y z (fractional)
Tm: 0.2781 0.2781 0.1657  3 Ir 2.72
Tm: 0.7219 0.7219 0.8343  3 Ir 2.72
Ir: 0.0000 0.0000 0.0000  6 Tm 2.72
Pr: 0.5000 0.5000 0.5000  6 Tm 3.82, 6 Pr 3.89

## Properties
E, eV per cell: -24.085
ΔH_f (0 K), eV/atom: -0.3754
Space group: R-3m, No. 166
Relative energy among the computed polymorphs, meV per atom: 182

---

Record 10
Pr3TmIr8 | PBE-GGA | optimized geometry

Cell: 5.4308 5.4308 9.3999 Å, 73.21 73.21 60.00°
Last column: nearest neighbours and their distance in Å.
Element x y z (fractional)
Pr: 0.3752 0.3752 0.8744  12 Ir 3.18-3.22, 4 Pr 3.33
Pr: 0.9993 0.9993 0.0020  12 Ir 3.19-3.23, 1 Tm 3.32, 3 Pr 3.33
Pr: 0.5004 0.5004 0.4987  12 Ir 3.14-3.18, 3 Tm 3.32, 1 Pr 3.33
Ir: 0.4367 0.9354 0.1912  6 Ir 2.68-2.74
Ir: 0.4367 0.4367 0.1912  6 Ir 2.68-2.74
Ir: 0.1877 0.1877 0.4368  6 Ir 2.68-2.70
Ir: 0.9354 0.4367 0.1912  6 Ir 2.68-2.74
Ir: 0.9380 0.4403 0.6837  6 Ir 2.70-2.74
Ir: 0.4403 0.9380 0.6837  6 Ir 2.70-2.74
Ir: 0.6875 0.6875 0.9374  6 Ir 2.74
Ir: 0.9380 0.9380 0.6837  6 Ir 2.70-2.74
Tm: 0.8746 0.8746 0.3762  12 Ir 3.14-3.18, 4 Pr 3.32

## Properties
E, eV per cell: -98.058
ΔH_f (0 K), eV/atom: -0.6967
Space group: R3m, No. 160

---

Record 11
PrTm2Ir | PBE-GGA | optimized geometry

Cell: 3.4563 3.4563 8.8576 Å, 90.00 90.00 90.00°
Last column: nearest neighbours and their distance in Å.
Element x y z (fractional)
Ir: 0.5000 0.5000 0.0000  8 Tm 2.92
Tm: 0.0000 0.0000 0.8186  4 Ir 2.92, 1 Tm 3.21
Tm: 0.0000 0.0000 0.1814  4 Ir 2.92, 1 Tm 3.21
Pr: 0.5000 0.5000 0.5000  4 Pr 3.46, 8 Tm 3.73

## Properties
E, eV per cell: -24.506
ΔH_f (0 K), eV/atom: -0.4806
Space group: P4/mmm, No. 123
Relative energy among the computed polymorphs, meV per atom: 77

---

Record 12
Pr2TmIr9 | PBE-GGA | optimized geometry

Cell: 5.3441 5.3441 9.4336 Å, 73.55 73.55 60.00°
Last column: nearest neighbours and their distance in Å.
Element x y z (fractional)
Ir: 0.9167 0.4215 0.2403  7 Ir 2.62-2.77
Ir: 0.3321 0.3321 0.0037  6 Ir 2.62-2.66
Ir: 0.5785 0.0833 0.7597  7 Ir 2.62-2.77
Ir: 0.5785 0.5785 0.7597  7 Ir 2.62-2.77
Ir: 0.4215 0.4215 0.2403  7 Ir 2.62-2.77
Ir: 0.0833 0.5785 0.7597  7 Ir 2.62-2.77
Ir: 0.5000 0.5000 0.5000  6 Ir 2.77
Ir: 0.4215 0.9167 0.2403  7 Ir 2.62-2.77
Ir: 0.6679 0.6679 0.9963  6 Ir 2.62-2.66
Pr: 0.8608 0.8608 0.4176  12 Ir 3.10-3.42, 3 Pr 3.42
Pr: 0.1392 0.1392 0.5824  12 Ir 3.10-3.42, 3 Pr 3.42
Tm: 0.0000 0.0000 0.0000  18 Ir 3.09-3.42

## Properties
E, eV per cell: -99.709
ΔH_f (0 K), eV/atom: -0.4941
Space group: R-3m, No. 166

---

Record 13
PrTmIr4 | PBE-GGA | optimized geometry

Cell: 5.3974 5.3974 5.3974 Å, 60.00 60.00 60.00°
Last column: nearest neighbours and their distance in Å.
Element x y z (fractional)
Ir: 0.6247 0.6247 0.6247  6 Ir 2.69-2.70
Ir: 0.1258 0.6247 0.6247  6 Ir 2.69-2.70
Ir: 0.6247 0.1258 0.6247  6 Ir 2.69-2.70
Ir: 0.6247 0.6247 0.1258  6 Ir 2.69-2.70
Tm: 0.2500 0.2500 0.2500  12 Ir 3.16, 4 Pr 3.31
Pr: 0.0000 0.0000 0.0000  12 Ir 3.17, 4 Tm 3.31

## Properties
E, eV per cell: -49.085
ΔH_f (0 K), eV/atom: -0.7316
Space group: F-43m, No. 216

---

Record 14
PrTmZnIr | PBE-GGA | optimized geometry

Cell: 5.0056 5.0056 5.0056 Å, 60.00 60.00 60.00°
Last column: nearest neighbours and their distance in Å.
Element x y z (fractional)
Ir: 0.5000 0.5000 0.5000  4 Pr 3.07, 4 Tm 3.07
Pr: 0.2500 0.2500 0.2500  4 Zn 3.07, 4 Ir 3.07
Tm: 0.7500 0.7500 0.7500  4 Ir 3.07, 4 Zn 3.07
Zn: 0.0000 0.0000 0.0000  4 Tm 3.07, 4 Pr 3.07

## Properties
E, eV per cell: -21.537
ΔH_f (0 K), eV/atom: -0.5377
Space group: F-43m, No. 216

---

Record 15
PrUIr2 | PBE-GGA | optimized geometry

Cell: 3.4453 3.4453 7.2676 Å, 90.00 90.00 90.00°
Last column: nearest neighbours and their distance in Å.
Element x y z (fractional)
Ir: 0.0000 0.0000 0.7927  4 U 2.86, 1 Ir 3.01
Ir: 0.0000 0.0000 0.2073  4 U 2.86, 1 Ir 3.01
Pr: 0.5000 0.5000 0.5000  8 Ir 3.23, 4 Pr 3.45
U: 0.5000 0.5000 0.0000  8 Ir 2.86

## Properties
E, eV per cell: -35.809
ΔH_f (0 K), eV/atom: -0.5047
Space group: P4/mmm, No. 123
Relative energy among the computed polymorphs, meV per atom: 11

---

Record 16
Pr5UIr4 | PBE-GGA | optimized geometry

Cell: 4.4181 7.4409 9.6892 Å, 117.13 103.18 90.00°
Last column: nearest neighbours and their distance in Å.
Element x y z (fractional)
Ir: 0.9917 0.1991 0.9833  2 U 2.71, 1 Pr 3.01
Ir: 0.6403 0.9891 0.2807  1 U 2.69, 4 Pr 2.92-2.94
Ir: 0.3597 0.0109 0.7193  1 U 2.69, 4 Pr 2.92-2.94
Ir: 0.0083 0.8009 0.0167  2 U 2.71, 1 Pr 3.01
Pr: 0.8376 0.7281 0.6753  3 Ir 2.94-3.01
Pr: 0.5000 0.5000 0.0000  6 Ir 3.10-3.35
Pr: 0.1624 0.2719 0.3247  3 Ir 2.94-3.01
Pr: 0.1757 0.7875 0.3515  4 Ir 2.92-3.21
Pr: 0.8243 0.2125 0.6485  4 Ir 2.92-3.21
U: 0.5000 0.0000 0.0000  6 Ir 2.69-2.71

## Properties
E, eV per cell: -75.831
ΔH_f (0 K), eV/atom: -0.5201
Space group: C2/m, No. 12

---

Record 17
PrUIr | PBE-GGA | optimized geometry

Cell: 6.1941 7.1022 8.1637 Å, 80.48 67.71 64.15°
Last column: nearest neighbours and their distance in Å.
Element x y z (fractional)
Ir: 0.8568 0.2865 0.5000  4 U 2.67-2.95, 1 Ir 2.73
Ir: 0.1068 0.7865 0.0000  4 U 2.67-2.95, 1 Ir 2.73
Ir: 0.6432 0.7135 0.5000  4 U 2.67-2.95, 1 Ir 2.73
Ir: 0.8932 0.2135 0.0000  4 U 2.67-2.95, 1 Ir 2.73
U: 0.9228 0.5000 0.1544  4 Ir 2.67-2.95
U: 0.8272 0.0000 0.3456  4 Ir 2.67-2.95
U: 0.1728 0.0000 0.6544  4 Ir 2.67-2.95
U: 0.5772 0.5000 0.8456  4 Ir 2.67-2.95
Pr: 0.3541 0.5000 0.2918  1 Pr 3.15, 2 Ir 3.26, 3 U 3.27-3.37
Pr: 0.1459 0.5000 0.7082  1 Pr 3.15, 2 Ir 3.26, 3 U 3.27-3.37
Pr: 0.6041 0.0000 0.7918  1 Pr 3.15, 2 Ir 3.26, 3 U 3.27-3.37
Pr: 0.3959 0.0000 0.2082  1 Pr 3.15, 2 Ir 3.26, 3 U 3.27-3.37

## Properties
E, eV per cell: -100.831
ΔH_f (0 K), eV/atom: -0.0930
Space group: Fddd, No. 70

---

Record 18
PrUIr2 | PBE-GGA | optimized geometry

Cell: 4.4763 5.7856 7.0481 Å, 90.00 90.00 90.00°
Last column: nearest neighbours and their distance in Å.
Element x y z (fractional)
Ir: 0.5000 0.3326 0.2134  3 U 2.70-2.81, 3 Ir 3.00-3.01
Ir: 0.0000 0.6674 0.2866  3 U 2.70-2.81, 3 Ir 3.00-3.01
Ir: 0.0000 0.6674 0.7134  3 U 2.70-2.81, 3 Ir 3.00-3.01
Ir: 0.5000 0.3326 0.7866  3 U 2.70-2.81, 3 Ir 3.00-3.01
Pr: 0.0000 0.1614 0.5000  8 Ir 3.17-3.29
Pr: 0.5000 0.8386 0.0000  8 Ir 3.17-3.29
U: 0.0000 0.3291 0.0000  6 Ir 2.70-2.81
U: 0.5000 0.6709 0.5000  6 Ir 2.70-2.81

## Properties
E, eV per cell: -71.680
ΔH_f (0 K), eV/atom: -0.5126
Space group: Pmmn, No. 59
Relative energy among the computed polymorphs, meV per atom: 3

---

Record 19
PrUIr2 | PBE-GGA | optimized geometry

Cell: 3.9392 3.9392 7.3279 Å, 74.41 74.41 60.00°
Last column: nearest neighbours and their distance in Å.
Element x y z (fractional)
Ir: 0.2612 0.2612 0.2163  3 U 2.73, 3 Pr 3.01
Ir: 0.7388 0.7388 0.7837  3 U 2.73, 3 Pr 3.01
U: 0.0000 0.0000 0.0000  6 Ir 2.73
Pr: 0.5000 0.5000 0.5000  6 Ir 3.01

## Properties
E, eV per cell: -35.852
ΔH_f (0 K), eV/atom: -0.5156
Space group: R-3m, No. 166
Relative energy among the computed polymorphs, meV per atom: 0

---

Record 20
Pr4UIr4 | PBE-GGA | optimized geometry

Cell: 6.1074 8.7435 8.7435 Å, 90.00 90.00 90.00°
Last column: nearest neighbours and their distance in Å.
Element x y z (fractional)
Pr: 0.3637 0.1730 0.9455  5 Ir 2.93-3.14
Pr: 0.3637 0.3270 0.5545  5 Ir 2.93-3.14
Pr: 0.6363 0.6730 0.4455  5 Ir 2.93-3.14
Pr: 0.8637 0.4455 0.8270  5 Ir 2.93-3.14
Pr: 0.1363 0.5545 0.1730  5 Ir 2.93-3.14
Pr: 0.1363 0.9455 0.3270  5 Ir 2.93-3.14
Pr: 0.6363 0.8270 0.0545  5 Ir 2.93-3.14
Pr: 0.8637 0.0545 0.6730  5 Ir 2.93-3.14
Ir: 0.6331 0.5007 0.1297  1 U 2.53, 1 Ir 2.79
Ir: 0.1331 0.6297 0.4993  1 U 2.53, 1 Ir 2.79
Ir: 0.3669 0.4993 0.8703  1 U 2.53, 1 Ir 2.79
Ir: 0.6331 0.9993 0.3703  1 U 2.53, 1 Ir 2.79
Ir: 0.3669 0.0007 0.6297  1 U 2.53, 1 Ir 2.79
Ir: 0.8669 0.3703 0.5007  1 U 2.53, 1 Ir 2.79
Ir: 0.8669 0.1297 0.9993  1 U 2.53, 1 Ir 2.79
Ir: 0.1331 0.8703 0.0007  1 U 2.53, 1 Ir 2.79
U: 0.7500 0.2500 0.2500  4 Ir 2.53
U: 0.2500 0.7500 0.7500  4 Ir 2.53

## Properties
E, eV per cell: -140.703
ΔH_f (0 K), eV/atom: -0.5001
Space group: P4_2/n, No. 86